Material: HoTlBi2
Method: DFT, PBE
State: relaxed

The structure in POSCAR format:
```
HoTlBi2
1.0
5.122 0.000 0.000
2.561 4.436 0.000
2.561 1.479 6.096
Ho Tl Bi
1 1 2
Cartesian
7.683 4.436 6.034
5.122 2.957 3.202
2.561 1.479 4.657
2.561 1.479 1.349
```

Calculated values
The energy relative to the lowest polymorph listed for this composition is 0.161 eV per atom. As for the symmetry: R3m (160). As for the crystal system: trigonal. As for the total DFT energy (no corrections): -3.8813 eV per atom. The energy relative to the elements is -205 meV per atom.